SmErO | PBE | relaxed

uncorrected formation energy: -1779 meV per atom
density of states at the Fermi level: 6.42 states/eV per cell

Cell lengths 3.4408, 5.7883, 7.0797 Å; angles 90.00, 104.06, 90.00 degrees
Closest atoms and distances in Å follow each position.
Sites, in units of the cell vectors:
Sm: 0.4481 0.2685 0.8962  4 O 2.43-2.47
Sm: 0.5519 0.7685 0.1038  4 O 2.43-2.47
O: 0.0415 0.4645 0.0829  1 Er 2.21, 4 Sm 2.43-2.47
O: 0.9585 0.9645 0.9171  1 Er 2.21, 4 Sm 2.43-2.47
Er: 0.1880 0.3080 0.3761  1 O 2.21
Er: 0.8120 0.8080 0.6239  1 O 2.21